# Pr2Tm3 PBE optimized geometry
# - VASP energy: -4.579 eV per atom
# - Magnetization: 0.0 μB/cell
data_Pr2Tm3
_space_group_name_H-M_alt 'C 1 2/c 1'
_space_group_IT_number 15
_cell_length_a 11.993
_cell_length_b 6.289
_cell_length_c 9.279
_cell_angle_alpha 90.00
_cell_angle_beta 110.17
_cell_angle_gamma 90.00
loop_
_space_group_symop_operation_xyz
'x,y,z'
'-x,-y,-z'
'-x,y,-z+1/2'
'x,-y,z+1/2'
'x+1/2,y+1/2,z'
'-x+1/2,-y+1/2,-z'
'-x+1/2,y+1/2,-z+1/2'
'x+1/2,-y+1/2,z+1/2'
loop_
_atom_site_label
_atom_site_fract_x
_atom_site_fract_y
_atom_site_fract_z
Pr1 0.099 0.170 0.450
Tm1 0.000 0.335 0.750
Tm2 0.203 0.334 0.150